Record 1
## Sr3PrMg8 (PBE)

Data for Sr3PrMg8 after structural relaxation. Values from VASP.

Summary:
The formation energy comes out at -0.10 eV per atom. Its raw total energy is -23.74 eV per cell.

Quantum ESPRESSO input file:
```
&SYSTEM
  ibrav = 0, nat = 12, ntyp = 3
/
ATOMIC_SPECIES
Sr 87.62 Sr.upf
Pr 140.91 Pr.upf
Mg 24.30 Mg.upf
CELL_PARAMETERS angstrom
3.183 1.838 10.373
-3.183 1.838 10.373
0.000 -3.675 10.373
ATOMIC_POSITIONS angstrom
Sr 0.000 0.000 0.000
Sr 0.000 0.000 3.935
Sr 0.000 0.000 15.648
Pr 0.000 0.000 19.501
Mg -1.607 -0.928 12.316
Mg 0.000 -1.834 7.228
Mg -1.588 0.917 7.228
Mg 0.000 0.000 9.750
Mg 1.607 -0.928 12.316
Mg 0.000 1.855 12.316
Mg 1.588 0.917 7.228
Mg 0.000 0.000 25.332
```

---

Record 2
## SrPr2Mg (PBE)

Data for SrPr2Mg after structural relaxation. Values from VASP.

Summary:
The formation energy comes out at 0.03 eV per atom. Its raw total energy is -12.73 eV per cell.

Quantum ESPRESSO input file:
```
&SYSTEM
  ibrav = 0, nat = 4, ntyp = 3
/
ATOMIC_SPECIES
Sr 87.62 Sr.upf
Pr 140.91 Pr.upf
Mg 24.30 Mg.upf
CELL_PARAMETERS angstrom
3.978 0.000 0.000
0.000 3.978 0.000
0.000 0.000 9.378
ATOMIC_POSITIONS angstrom
Sr 0.000 0.000 0.000
Pr 1.989 1.989 2.865
Pr 1.989 1.989 6.513
Mg 0.000 0.000 4.689
```

---

Record 3
## SrPr2Mg (PBE)

Data for SrPr2Mg after structural relaxation. Values from VASP.

Summary:
The formation energy comes out at 0.22 eV per atom. Its raw total energy is -11.97 eV per cell.

Quantum ESPRESSO input file:
```
&SYSTEM
  ibrav = 0, nat = 4, ntyp = 3
/
ATOMIC_SPECIES
Sr 87.62 Sr.upf
Pr 140.91 Pr.upf
Mg 24.30 Mg.upf
CELL_PARAMETERS angstrom
1.837 1.060 12.838
-1.837 1.060 12.838
0.000 -2.121 12.838
ATOMIC_POSITIONS angstrom
Sr 0.000 0.000 0.000
Pr 0.000 0.000 3.739
Pr 0.000 0.000 34.774
Mg 0.000 0.000 19.257
```

---

Record 4
## SrPr2Mg9 (PBE)

Data for SrPr2Mg9 after structural relaxation. Values from VASP.

Summary:
The formation energy comes out at -0.08 eV per atom. Its raw total energy is -26.50 eV per cell.

Quantum ESPRESSO input file:
```
&SYSTEM
  ibrav = 0, nat = 12, ntyp = 3
/
ATOMIC_SPECIES
Sr 87.62 Sr.upf
Pr 140.91 Pr.upf
Mg 24.30 Mg.upf
CELL_PARAMETERS angstrom
3.095 1.787 10.086
-3.095 1.787 10.086
0.000 -3.574 10.086
ATOMIC_POSITIONS angstrom
Sr 0.000 0.000 0.000
Pr 0.000 0.000 4.446
Pr 0.000 0.000 25.812
Mg -1.562 -0.902 12.642
Mg 0.000 0.000 10.114
Mg 0.000 -1.803 17.616
Mg -1.562 0.902 17.616
Mg 0.000 0.000 15.129
Mg 1.562 -0.902 12.642
Mg 0.000 1.803 12.642
Mg 0.000 0.000 20.144
Mg 1.562 0.902 17.616
```

---

Record 5
## SrPr2Mg3 (PBE)

Data for SrPr2Mg3 after structural relaxation. Values from VASP.

Summary:
The formation energy comes out at -0.09 eV per atom. Its raw total energy is -16.55 eV per cell.

Quantum ESPRESSO input file:
```
&SYSTEM
  ibrav = 0, nat = 6, ntyp = 3
/
ATOMIC_SPECIES
Sr 87.62 Sr.upf
Pr 140.91 Pr.upf
Mg 24.30 Mg.upf
CELL_PARAMETERS angstrom
3.985 0.000 0.000
0.000 3.985 0.000
0.000 0.000 12.117
ATOMIC_POSITIONS angstrom
Sr 0.000 0.000 0.000
Pr 0.000 0.000 4.169
Pr 0.000 0.000 7.949
Mg 1.993 1.993 2.263
Mg 1.993 1.993 6.059
Mg 1.993 1.993 9.855
```

---

Record 6
## Sr2PrMg (PBE)

Data for Sr2PrMg after structural relaxation. Values from VASP.

Summary:
The formation energy comes out at 0.14 eV per atom. Its raw total energy is -9.19 eV per cell.

Quantum ESPRESSO input file:
```
&SYSTEM
  ibrav = 0, nat = 4, ntyp = 3
/
ATOMIC_SPECIES
Sr 87.62 Sr.upf
Pr 140.91 Pr.upf
Mg 24.30 Mg.upf
CELL_PARAMETERS angstrom
1.972 1.138 12.155
-1.972 1.138 12.155
0.000 -2.277 12.155
ATOMIC_POSITIONS angstrom
Sr 0.000 0.000 0.000
Sr 0.000 0.000 6.449
Pr 0.000 0.000 15.390
Mg 0.000 0.000 21.454
```

---

Record 7
## SrPr2Mg (PBE)

Data for SrPr2Mg after structural relaxation. Values from VASP.

Summary:
The formation energy comes out at 0.11 eV per atom. Its raw total energy is -12.38 eV per cell.

Quantum ESPRESSO input file:
```
&SYSTEM
  ibrav = 0, nat = 4, ntyp = 3
/
ATOMIC_SPECIES
Sr 87.62 Sr.upf
Pr 140.91 Pr.upf
Mg 24.30 Mg.upf
CELL_PARAMETERS angstrom
0.000 4.143 4.143
4.143 0.000 4.143
4.143 4.143 0.000
ATOMIC_POSITIONS angstrom
Sr 0.000 0.000 0.000
Pr 2.071 2.071 2.071
Pr 6.214 6.214 6.214
Mg 4.143 4.143 4.143
```

---

Record 8
## SrPr2Mg (PBE)

Data for SrPr2Mg after structural relaxation. Values from VASP.

Summary:
The formation energy comes out at 0.11 eV per atom. Its raw total energy is -12.40 eV per cell.

Quantum ESPRESSO input file:
```
&SYSTEM
  ibrav = 0, nat = 4, ntyp = 3
/
ATOMIC_SPECIES
Sr 87.62 Sr.upf
Pr 140.91 Pr.upf
Mg 24.30 Mg.upf
CELL_PARAMETERS angstrom
5.179 0.000 0.000
0.000 5.179 0.000
0.000 0.000 5.342
ATOMIC_POSITIONS angstrom
Sr 0.000 0.000 0.000
Pr 0.000 2.589 2.671
Pr 2.589 0.000 2.671
Mg 2.589 2.589 0.000
```

---

Record 9
## Sr2PrMg (PBE)

Data for Sr2PrMg after structural relaxation. Values from VASP.

Summary:
The formation energy comes out at 0.11 eV per atom. Its raw total energy is -9.31 eV per cell.

Quantum ESPRESSO input file:
```
&SYSTEM
  ibrav = 0, nat = 4, ntyp = 3
/
ATOMIC_SPECIES
Sr 87.62 Sr.upf
Pr 140.91 Pr.upf
Mg 24.30 Mg.upf
CELL_PARAMETERS angstrom
4.457 0.000 0.000
0.000 4.457 0.000
0.000 0.000 8.108
ATOMIC_POSITIONS angstrom
Sr 0.000 0.000 1.905
Sr 0.000 0.000 6.203
Pr 2.229 2.229 4.054
Mg 2.229 2.229 0.000
```

---

Record 10
## SrPrMg17 (PBE)

Data for SrPrMg17 after structural relaxation. Values from VASP.

Summary:
The formation energy comes out at -0.06 eV per atom. Its raw total energy is -34.69 eV per cell.

Quantum ESPRESSO input file:
```
&SYSTEM
  ibrav = 0, nat = 19, ntyp = 3
/
ATOMIC_SPECIES
Sr 87.62 Sr.upf
Pr 140.91 Pr.upf
Mg 24.30 Mg.upf
CELL_PARAMETERS angstrom
5.203 3.004 5.115
-5.203 3.004 5.115
0.000 -6.008 5.115
ATOMIC_POSITIONS angstrom
Sr 0.000 0.000 0.000
Pr 0.000 0.000 10.242
Mg -1.571 -2.685 5.159
Mg -3.111 -0.017 5.159
Mg -2.609 -1.507 7.939
Mg 0.000 0.000 3.654
Mg 0.000 -2.998 7.723
Mg -2.597 1.499 7.723
Mg 1.571 -2.685 5.159
Mg -1.540 2.703 5.159
Mg 0.000 0.000 6.692
Mg -2.513 -1.451 12.611
Mg 3.111 -0.017 5.159
Mg 1.540 2.703 5.159
Mg 2.609 -1.507 7.939
Mg 0.000 3.013 7.939
Mg 2.597 1.499 7.723
Mg 2.513 -1.451 12.611
Mg 0.000 2.901 12.611
```

---

Record 11
## Sr2PrMg (PBE)

Data for Sr2PrMg after structural relaxation. Values from VASP.

Summary:
The formation energy comes out at 0.27 eV per atom. Its raw total energy is -8.65 eV per cell.

Quantum ESPRESSO input file:
```
&SYSTEM
  ibrav = 0, nat = 4, ntyp = 3
/
ATOMIC_SPECIES
Sr 87.62 Sr.upf
Pr 140.91 Pr.upf
Mg 24.30 Mg.upf
CELL_PARAMETERS angstrom
1.899 1.096 13.184
-1.899 1.096 13.184
0.000 -2.193 13.184
ATOMIC_POSITIONS angstrom
Sr 0.000 0.000 3.693
Sr 0.000 0.000 35.859
Pr 0.000 0.000 0.000
Mg 0.000 0.000 19.776
```

---

Record 12
## Sr2PrMg (PBE)

Data for Sr2PrMg after structural relaxation. Values from VASP.

Summary:
The formation energy comes out at 0.13 eV per atom. Its raw total energy is -9.20 eV per cell.

Quantum ESPRESSO input file:
```
&SYSTEM
  ibrav = 0, nat = 4, ntyp = 3
/
ATOMIC_SPECIES
Sr 87.62 Sr.upf
Pr 140.91 Pr.upf
Mg 24.30 Mg.upf
CELL_PARAMETERS angstrom
5.302 0.000 0.000
0.000 5.302 0.000
0.000 0.000 5.677
ATOMIC_POSITIONS angstrom
Sr 0.000 2.651 0.000
Sr 2.651 0.000 0.000
Pr 0.000 0.000 2.838
Mg 2.651 2.651 2.838
```

---

- Which value of formation energy does entry 3 give?
  0.22 eV per atom